Material: Cd3Au
Method: DFT, GGA-PBE
State: optimized geometry

Unit cell a=4.876 b=4.876 c=4.876 alpha=60.00 beta=60.00 gamma=60.00
Fractional positions:
1 Au 0.000 0.000 0.000
2 Cd 0.250 0.250 0.250
3 Cd 0.500 0.500 0.500
4 Cd 0.750 0.750 0.750

Summary:
The energy of formation is -0.0338 eV/atom. For the magnetic moment, the calculation gives 0.0 μB/cell.

***

Material: CaTb7Tm2
Method: DFT, GGA-PBE
State: optimized geometry

Unit cell a=5.030 b=8.740 c=10.711 alpha=122.86 beta=76.40 gamma=125.17
Fractional positions:
1 Ca 0.000 0.000 0.000
2 Tb 0.898 0.694 0.593
3 Tb 0.102 0.306 0.407
4 Tb 0.190 0.587 0.794
5 Tb 0.810 0.413 0.206
6 Tb 0.293 0.897 0.207
7 Tb 0.707 0.103 0.793
8 Tb 0.500 0.500 0.000
9 Tm 0.599 0.799 0.400
10 Tm 0.401 0.201 0.600

Summary:
The energy of formation is 0.0518 eV/atom. For the magnetic moment, the calculation gives 0.0 μB/cell.

***

Material: Hg2Bi2Te
Method: DFT, GGA-PBE
State: optimized geometry

Unit cell a=4.297 b=4.297 c=8.751 alpha=75.79 beta=75.79 gamma=90.00
Fractional positions:
1 Te 0.000 0.000 0.000
2 Bi 0.403 0.403 0.194
3 Bi 0.597 0.597 0.806
4 Hg 0.750 0.250 0.500
5 Hg 0.250 0.750 0.500

Summary:
Its offset from the most stable computed form is 0.019 eV/atom. For the magnetic moment, the calculation gives 0.0 μB/cell.

***

Material: CsP2CCl
Method: DFT, GGA-PBE
State: optimized geometry

Unit cell a=6.682 b=6.682 c=7.116 alpha=90.00 beta=90.00 gamma=90.00
Each line ends with the local moment (μB).
Fractional positions:
1 Cs 0.000 0.000 0.000  0.10
2 P 0.000 0.500 0.000  1.20
3 P 0.500 0.000 0.000  1.20
4 C 0.500 0.500 0.500  0.99
5 Cl 0.000 0.000 0.500  -0.07

Summary:
Its offset from the most stable computed form is 1.835 eV/atom. For the magnetic moment, the calculation gives 7.8 μB/cell.

***

Respective energy values: -1.539, -4.284, -2.186, -2.077 eV per atom.